# 1
This record from the Alexandria database describes CdCu2Ni at its PBEsol-relaxed geometry. The functional is meta-GGA SCAN.

Calculated values
Formation enthalpy at 0 K, eV/atom: 0.122
Total magnetic moment, μB per formula unit: 0.0

Cell: 8.6866 2.7205 4.5112 Å, 90.00 102.59 90.00°
With the nearest neighbours (Å) after each atom.
Atoms (fractional coordinates):
Cd 0.0000 0.0000 0.0000  4 Ni 2.63, 6 Cu 2.65-2.69, 2 Cd 2.72
Cd 0.5000 0.5000 0.0000  4 Ni 2.63, 6 Cu 2.65-2.69, 2 Cd 2.72
Cu 0.2402 0.0000 0.7260  4 Cu 2.49-2.72, 3 Ni 2.51-2.67, 3 Cd 2.65-2.69
Cu 0.2598 0.5000 0.2740  4 Cu 2.49-2.72, 3 Ni 2.51-2.67, 3 Cd 2.65-2.69
Cu 0.7402 0.5000 0.7260  4 Cu 2.49-2.72, 3 Ni 2.51-2.67, 3 Cd 2.65-2.69
Cu 0.7598 0.0000 0.2740  4 Cu 2.49-2.72, 3 Ni 2.51-2.67, 3 Cd 2.65-2.69
Ni 0.0000 0.5000 0.5000  6 Cu 2.51-2.67, 4 Cd 2.63, 2 Ni 2.72
Ni 0.5000 0.0000 0.5000  6 Cu 2.51-2.67, 4 Cd 2.63, 2 Ni 2.72

# 2
This record from the Alexandria database describes CdCu2Ni at its PBEsol-relaxed geometry. The functional is meta-GGA SCAN.

Calculated values
Formation enthalpy at 0 K, eV/atom: 0.117
Total magnetic moment, μB per formula unit: 0.0

Cell: 3.7260 3.7260 7.4402 Å, 90.00 90.00 90.00°
With the nearest neighbours (Å) after each atom.
Atoms (fractional coordinates):
Cd 0.0000 0.0000 0.0000  8 Cu 2.63, 4 Ni 2.63
Cd 0.5000 0.5000 0.5000  8 Cu 2.63, 4 Ni 2.63
Cu 0.0000 0.5000 0.2500  4 Cd 2.63, 4 Ni 2.63, 4 Cu 2.63
Cu 0.0000 0.5000 0.7500  4 Cd 2.63, 4 Ni 2.63, 4 Cu 2.63
Cu 0.5000 0.0000 0.2500  4 Cd 2.63, 4 Ni 2.63, 4 Cu 2.63
Cu 0.5000 0.0000 0.7500  4 Cd 2.63, 4 Ni 2.63, 4 Cu 2.63
Ni 0.0000 0.0000 0.5000  8 Cu 2.63, 4 Cd 2.63
Ni 0.5000 0.5000 0.0000  8 Cu 2.63, 4 Cd 2.63

# 3
This record from the Alexandria database describes CdCuNi2 at its PBEsol-relaxed geometry. The functional is meta-GGA SCAN.

Calculated values
Formation enthalpy at 0 K, eV/atom: 0.131
Total magnetic moment, μB per formula unit: 1.0

Cell: 2.7989 3.0416 5.9528 Å, 90.00 90.00 90.00°
With the nearest neighbours (Å) after each atom.
Atoms (fractional coordinates):
Cd 0.0000 0.0000 0.0000  5 Ni 2.67-2.92, 4 Cu 2.70, 2 Cd 2.80
Cu 0.5000 0.5000 0.2931  5 Ni 2.44-2.52, 4 Cd 2.70
Ni 0.0000 0.0000 0.5099  4 Ni 2.41, 4 Cu 2.44
Ni 0.5000 0.5000 0.7168  4 Ni 2.41, 1 Cu 2.52, 4 Cd 2.67

# 4
This record from the Alexandria database describes CdCu2Ni at its PBEsol-relaxed geometry. The functional is meta-GGA SCAN.

Calculated values
Formation enthalpy at 0 K, eV/atom: 0.113
Total magnetic moment, μB per formula unit: 0.0

Cell: 2.7503 3.3317 5.6690 Å, 90.00 90.00 90.00°
With the nearest neighbours (Å) after each atom.
Atoms (fractional coordinates):
Cd 0.0000 0.0000 0.0000  8 Cu 2.70, 2 Cd 2.75, 2 Ni 2.83
Cu 0.5000 0.5000 0.2851  1 Cu 2.44, 4 Ni 2.48, 4 Cd 2.70
Cu 0.5000 0.5000 0.7149  1 Cu 2.44, 4 Ni 2.48, 4 Cd 2.70
Ni 0.0000 0.0000 0.5000  8 Cu 2.48, 2 Ni 2.75

# 5
This record from the Alexandria database describes CdCuNi2 at its PBEsol-relaxed geometry. The functional is meta-GGA SCAN.

Calculated values
Formation enthalpy at 0 K, eV/atom: 0.125
Total magnetic moment, μB per formula unit: 0.0

Cell: 2.9114 2.9114 5.9353 Å, 90.00 90.00 90.00°
With the nearest neighbours (Å) after each atom.
Atoms (fractional coordinates):
Cd 0.0000 0.0000 0.0000  8 Ni 2.66, 4 Cd 2.91, 2 Cu 2.97
Cu 0.0000 0.0000 0.5000  8 Ni 2.43
Ni 0.5000 0.5000 0.2840  4 Cu 2.43, 1 Ni 2.56, 4 Cd 2.66
Ni 0.5000 0.5000 0.7160  4 Cu 2.43, 1 Ni 2.56, 4 Cd 2.66

# 6
This record from the Alexandria database describes CdCu2Ni at its PBEsol-relaxed geometry. The functional is meta-GGA SCAN.

Calculated values
Formation enthalpy at 0 K, eV/atom: 0.093
Total magnetic moment, μB per formula unit: 0.0

Cell: 2.8774 2.8774 6.2509 Å, 90.00 90.00 90.00°
With the nearest neighbours (Å) after each atom.
Atoms (fractional coordinates):
Cd 0.0000 0.0000 0.0000  4 Ni 2.68, 4 Cu 2.74, 4 Cd 2.88
Cu 0.0000 0.0000 0.5098  4 Ni 2.43, 4 Cu 2.45
Cu 0.5000 0.5000 0.2928  4 Cu 2.45, 1 Ni 2.68, 4 Cd 2.74
Ni 0.5000 0.5000 0.7221  5 Cu 2.43-2.68, 4 Cd 2.68

Which value of formation enthalpy at 0 K does entry 5 give? 0.125 eV/atom